1.
4
Lattice="3.430 0.000 0.000 0.000 3.430 0.000 -1.715 -1.715 5.796" Properties=species:S:1:pos:R:3 comment="PBEsol TaAs, relaxed" e_form_ev_per_atom=-0.604 crystal_system=tetragonal pbc="T T T"
As 0.000 1.715 3.850
As 0.000 0.000 0.952
Ta 1.715 0.000 2.900
Ta 1.715 1.715 0.002


2.
4
Lattice="-0.048 -3.768 0.633 0.200 1.404 -3.163 8.221 -0.020 0.512" Properties=species:S:1:pos:R:3 comment="PBEsol CdAuCl2, relaxed" polymorph_energy_mev_per_atom=93 raw_formation_energy_ev_per_fu=-1.15 crystal_system=orthorhombic pbc="T T T"
Cl 2.543 -1.890 0.476
Cl 7.731 -0.018 0.481
Cd 6.062 -1.899 0.695
Au 4.168 -0.010 0.259


3.
9
Lattice="4.223 0.000 0.000 0.000 7.616 0.000 0.000 -3.808 6.596" Properties=species:S:1:pos:R:3 comment="PBEsol Ca2Ir, relaxed" e_form_ev_per_atom=-0.209 crystal_system=hexagonal pbc="T T T"
Ir 2.111 0.000 0.000
Ir 0.000 0.000 4.397
Ir 0.000 3.808 2.199
Ca 2.111 4.477 0.000
Ca 0.000 1.955 0.000
Ca 2.111 1.570 2.719
Ca 0.000 2.831 4.903
Ca 0.000 -0.977 1.693
Ca 2.111 -2.238 3.877


4.
4
Lattice="3.163 0.000 0.000 1.582 2.740 0.000 1.582 0.913 9.793" Properties=species:S:1:pos:R:3 comment="PBEsol Ca2WAu, relaxed" e_form_ev_per_atom=0.534 polymorph_energy_mev_per_atom=152 crystal_system=trigonal pbc="T T T"
W 3.163 1.826 4.896
Ca 4.745 2.740 7.391
Ca 1.582 0.913 2.402
Au 0.000 0.000 0.000


5.
4
Lattice="-2.120 -1.097 3.146 2.793 -2.938 0.857 2.102 2.685 2.353" Properties=species:S:1:pos:R:3 comment="PBEsol TlPt2Au, relaxed" e_form_ev_per_atom=-0.023 crystal_system=tetragonal pbc="T T T"
Pt 1.397 -1.469 0.429
Pt 1.051 1.343 1.177
Au -1.060 -0.549 1.573
Tl 1.388 -0.675 3.178


6.
4
Lattice="-2.034 1.244 -1.656 2.042 -1.482 -3.621 -3.330 -5.016 2.866" Properties=species:S:1:pos:R:3 comment="PBEsol InCoHg2, relaxed" e_form_ev_per_atom=0.157 crystal_system=orthorhombic pbc="T T T"
Hg -0.454 -0.700 0.031
Hg -0.630 -3.291 -1.698
In -2.863 -4.421 0.195
Co -2.700 -1.976 -0.713


7.
5
Lattice="4.421 0.000 0.000 0.000 4.421 0.000 0.000 0.000 4.421" Properties=species:S:1:pos:R:3 comment="PBEsol AlAsRu3, relaxed" e_form_ev_per_atom=0.809 crystal_system=cubic pbc="T T T"
Ru 0.000 2.210 0.000
Ru 0.000 0.000 2.210
Ru 2.210 0.000 0.000
As 0.000 0.000 0.000
Al 2.210 2.210 2.210


8.
4
Lattice="-0.651 -2.987 -3.970 2.300 -4.447 -0.193 -4.146 -5.024 1.299" Properties=species:S:1:pos:R:3 comment="PBEsol BaMg2Tl, relaxed" e_form_ev_per_atom=-0.150 polymorph_energy_mev_per_atom=28 crystal_system=trigonal pbc="T T T"
Ba -1.788 -9.298 -2.196
Mg -0.770 -3.194 -0.633
Mg 1.055 -7.757 -3.822
Tl -0.638 -5.898 -1.781


9.
32
Lattice="-2.485 -4.625 -1.184 3.060 -0.041 4.427 -10.386 3.733 7.213" Properties=species:S:1:pos:R:3 comment="PBEsol BaLi4O3, relaxed" raw_formation_energy_ev_per_fu=-15.54 crystal_system=orthorhombic pbc="T T T"
Li -4.274 -1.949 2.983
Li -11.009 2.294 7.059
Li -7.655 -0.730 5.335
Li 0.311 -0.308 4.529
Li -4.281 0.973 5.380
Li -10.640 -0.695 9.137
Li -5.537 1.017 7.473
Li -6.688 2.211 9.395
Li 1.198 -3.226 3.397
Li 0.829 -0.237 1.319
Li -3.122 -3.143 1.061
Li -2.156 -0.202 5.120
Li -10.122 -0.624 5.927
Li -4.074 -0.704 6.545
Li -5.530 -1.905 5.076
Li -5.736 -0.228 3.910
O -1.067 0.913 4.016
O -5.993 -0.075 5.984
O 1.972 0.350 5.182
O -3.176 0.967 6.983
O -11.136 0.540 7.780
O -6.635 -1.899 3.473
O -3.818 -0.857 4.472
O -9.031 0.488 4.818
O -11.783 -1.282 5.273
O 1.325 -1.472 2.676
O -0.779 -1.420 5.638
O -8.744 -1.845 6.439
Ba -9.378 -2.145 3.606
Ba -8.395 0.790 7.654
Ba -0.433 1.213 6.850
Ba -1.416 -1.722 2.802


10.
5
Lattice="-1.210 -3.216 1.633 3.597 -1.203 0.295 0.352 2.159 4.513" Properties=species:S:1:pos:R:3 comment="PBEsol SnPRuO2, relaxed" raw_formation_energy_ev_per_fu=-2.20 crystal_system=tetragonal pbc="T T T"
O -0.605 -1.608 0.816
O 1.798 -0.602 0.148
Sn 1.369 -1.130 3.221
Ru 0.000 0.000 0.000
P 0.176 1.080 2.257


11.
5
Lattice="3.420 0.000 0.000 0.000 4.568 0.000 0.000 0.000 4.568" Properties=species:S:1:pos:R:3 comment="PBEsol MnCo2BiO, relaxed" raw_formation_energy_ev_per_fu=1.42 crystal_system=tetragonal pbc="T T T"
Bi 1.710 2.284 2.284
Co 0.000 2.284 0.000
Co 0.000 0.000 2.284
O 1.710 0.000 0.000
Mn 0.000 0.000 0.000


12.
5
Lattice="-1.164 -2.552 -4.026 4.513 0.983 -1.928 1.810 -4.160 2.114" Properties=species:S:1:pos:R:3 comment="PBEsol YZrP2S, relaxed" raw_formation_energy_ev_per_fu=1.36 crystal_system=tetragonal pbc="T T T"
Zr 2.580 -2.865 -1.920
S -0.582 -1.276 -2.013
Y 0.000 0.000 0.000
P 0.905 -2.080 1.057
P 2.257 0.492 -0.964


13.
4
Lattice="-0.195 -3.270 0.517 0.229 0.970 -4.419 5.010 -0.189 0.697" Properties=species:S:1:pos:R:3 comment="PBEsol Si2SbW, relaxed" raw_formation_energy_ev_per_fu=1.22 crystal_system=monoclinic pbc="T T T"
Si 0.896 -0.329 -1.743
Si 4.148 -2.161 -1.462
W -0.098 -1.635 0.258
Sb 2.505 -0.095 0.349


14.
4
Lattice="2.706 0.000 0.000 0.000 4.158 0.000 -1.353 -2.079 4.385" Properties=species:S:1:pos:R:3 comment="PBEsol Be2CdTc, relaxed" e_form_ev_per_atom=0.268 crystal_system=orthorhombic pbc="T T T"
Be 1.353 0.000 2.038
Be 0.000 0.000 0.116
Tc 0.000 2.079 2.351
Cd 0.000 0.000 4.264